# 1
Pm2CdGe3Ir4 | PBE | optimized geometry

Cell: 4.2127 4.2127 10.8140 Å, 90.00 90.00 90.00°
Fractional coordinates of all 10 atoms:
Ir1 0.0000 0.5000 0.3492
Pm1 0.0000 0.5000 0.7575
Cd1 0.5000 0.5000 0.5000
Ge1 0.0000 0.0000 0.5000
Ge2 0.0000 0.5000 0.1251
Pm2 0.5000 0.0000 0.2425
Ir2 0.0000 0.0000 0.0000
Ir3 0.5000 0.0000 0.6508
Ge3 0.5000 0.0000 0.8749
Ir4 0.5000 0.5000 0.0000

## Properties
- calculated volume (Å³/cell) = 191.9
- total DFT energy (no corrections) (eV per formula unit) = -65.93

***

# 2
V14OsW | PBE | optimized geometry

Cell: 5.2189 5.2189 8.5033 Å, 90.00 90.00 109.27°
Fractional coordinates of all 16 atoms:
V1 0.6250 0.8750 0.0000
V2 0.3756 0.6244 0.7563
V3 0.6249 0.8751 0.5000
V4 0.1249 0.3751 0.5000
V5 0.8744 0.1256 0.7562
V6 0.6250 0.3750 0.0000
V7 0.8760 0.6259 0.2475
V8 0.1250 0.8750 0.0000
V9 0.3741 0.1240 0.2475
V10 0.8760 0.6259 0.7525
Os1 0.1250 0.8750 0.5000
V11 0.1250 0.3750 0.0000
V12 0.3741 0.1240 0.7525
W1 0.6250 0.3750 0.5000
V13 0.3756 0.6244 0.2437
V14 0.8744 0.1256 0.2438

## Properties
- calculated volume (Å³/cell) = 218.6
- total DFT energy (no corrections) (eV per formula unit) = -153.51

***

# 3
TcIrW2 | PBE | optimized geometry

Cell: 3.2631 3.2631 5.8962 Å, 90.00 90.00 90.00°
Fractional coordinates of all 4 atoms:
W1 0.5000 0.5000 0.2673
Tc1 0.5000 0.5000 0.7684
Ir1 0.0000 0.0000 0.4775
W2 0.0000 0.0000 0.9868

## Properties
- energy above the lowest structure with this stoichiometry (meV/atom) = 201
- calculated volume (Å³/cell) = 62.8
- total DFT energy (no corrections) (eV per formula unit) = -44.61

***

What is the total DFT energy (no corrections) in the first record?
-65.93 eV per formula unit